First-principles (GGA-PBEsol) data for FeOs2Br after structural relaxation, as listed in Alexandria.

The space group is P4/mmm (No. 123) and the conventional cell measures 2.9349, 2.9349 and 6.8128 Å, with angles of 90.00, 90.00 and 90.00 degrees. The asymmetric unit holds Fe at (0.0000, 0.0000, 0.0000), Os at (0.5000, 0.5000, 0.2038) and Br at (0.0000, 0.0000, 0.5000).

The volume is 58.7 Å³ per cell. For the excess energy over the best structure of this formula in the dataset, the calculation gives 83.8 meV/atom. As for the magnetic moment: 2.30 μB per formula unit. Its formation energy from raw total energies is 915 meV/atom.